NaCeAu2 | PBE-GGA | optimized geometry

## Properties
- Density of states at the Fermi level: 21.04 states/eV per cell
- V: 110 Å³/f.u.
- Formation energy: -371 meV per atom
- Energy above the most stable polymorph in this dataset: 126 meV per atom
- ρ: 8.420 g/cm³

CIF file:
```
data_NaCeAu2
_chemical_formula_sum 'Na3 Ce3 Au6'
_space_group_name_H-M_alt 'R -3 m'
_space_group_IT_number 166
_space_group_name_Hall '-R 3 2"'
_cell_length_a 4.2192
_cell_length_b 4.2192
_cell_length_c 21.3769
_cell_angle_alpha 90.00
_cell_angle_beta 90.00
_cell_angle_gamma 120.00
loop_
_atom_site_label
_atom_site_type_symbol
_atom_site_fract_x
_atom_site_fract_y
_atom_site_fract_z
Na1 Na 0.0000 0.0000 0.0000
Ce1 Ce 0.0000 0.0000 0.5000
Au1 Au 0.0000 0.0000 0.2482
```